[1]
The following is a PBE calculation of a relaxed structure of TbSm3Pd, from Alexandria via LeMat-Bulk.

The space group is Cm (No. 8) and the conventional cell measures 12.3944, 3.7805 and 13.9625 Å, with angles of 90.00, 115.24 and 90.00 degrees. The inequivalent atoms are Tb at (0.0000, 0.0000, 0.0000), Tb at (0.1154, 0.0000, 0.2880), Sm at (0.1494, 0.5000, 0.5260), Sm at (0.1776, 0.5000, 0.8955), Sm at (0.3196, 0.0000, 0.7637), Sm at (0.3492, 0.0000, 0.1295), Sm at (0.3823, 0.5000, 0.3641), Sm at (0.4967, 0.5000, 0.6593), Pd at (0.1567, 0.5000, 0.1492) and Pd at (0.3345, 0.0000, 0.5038).

The calculated formation energy is -0.334 eV/atom. For the density of states at the Fermi level, the calculation gives 1.20 states/eV/atom.

---

[2]
The following is a PBE calculation of a relaxed structure of TaAg2Cl, from Alexandria via LeMat-Bulk.

The space group is P4mm (No. 99) and the conventional cell measures 2.9515, 2.9515 and 9.2325 Å, with angles of 90.00, 90.00 and 90.00 degrees. The inequivalent atoms are Ta at (0.0000, 0.0000, 0.0000), Ag at (0.0000, 0.0000, 0.4482), Ag at (0.5000, 0.5000, 0.2244) and Cl at (0.5000, 0.5000, 0.8231).

For the density of states at the Fermi level, the calculation gives 0.37 states/eV/atom. As for the energy relative to the elements, uncorrected: 0.05 eV per atom.